# ZrMnAs2O8

A relaxed structure of ZrMnAs2O8 (GGA+U, Alexandria via LeMat-Bulk).

Properties
**Total moment**: 10.00 μB per cell
**Electronic total energy**: -0.2669 hartree per atom

Lattice parameters (Å, degrees): 6.903 6.903 6.221 90.00 90.00 90.00
Space group I-4m2 (No. 119)
One atom of each set of equivalent atoms:
Zr1 0.000 0.000 0.000
Mn1 0.000 0.500 0.250
As1 0.000 0.000 0.500
As2 0.000 0.500 0.750
O1 0.000 0.182 0.310
O2 0.000 0.310 0.928